PmCu4Ge2 | PBE | optimized geometry Values from VASP.

## Properties
Final energy, eV for the cell shown: -32.60
Magnetization, μB/cell: 0.000

Structure (Quantum ESPRESSO input):
```
&SYSTEM
  ibrav = 0, nat = 7, ntyp = 3
/
ATOMIC_SPECIES
Pm 145.00 Pm.upf
Cu 63.55 Cu.upf
Ge 72.64 Ge.upf
CELL_PARAMETERS angstrom
-0.136 -4.011 -1.089
0.847 -2.947 2.808
-7.108 -2.593 2.501
ATOMIC_POSITIONS crystal
Pm 0.000 0.000 0.000
Cu 0.438 0.438 0.685
Cu 0.141 0.141 0.577
Cu 0.562 0.562 0.315
Cu 0.859 0.859 0.423
Ge 0.251 0.251 0.248
Ge 0.749 0.749 0.752
```

RbTl2 | PBE | optimized geometry Values from VASP.

## Properties
Final energy, eV for the cell shown: -23.94
Energy above the lowest structure with this stoichiometry, kJ/mol of formula units: 0.0
Magnetization, μB/cell: 0.000

Structure (Quantum ESPRESSO input):
```
&SYSTEM
  ibrav = 0, nat = 12, ntyp = 2
/
ATOMIC_SPECIES
Rb 85.47 Rb.upf
Tl 204.38 Tl.upf
CELL_PARAMETERS angstrom
-2.558 1.940 6.158
1.280 -6.706 -1.272
9.964 1.188 3.765
ATOMIC_POSITIONS crystal
Rb 0.333 0.667 0.061
Rb 0.667 0.333 0.561
Rb 0.667 0.333 0.939
Rb 0.333 0.667 0.439
Tl 0.000 0.000 0.000
Tl 0.000 0.000 0.500
Tl 0.834 0.667 0.250
Tl 0.166 0.333 0.750
Tl 0.333 0.166 0.250
Tl 0.834 0.166 0.250
Tl 0.166 0.834 0.750
Tl 0.667 0.834 0.750
```

Ca3Al2Au3 | PBE | optimized geometry Values from VASP.

## Properties
Final energy, eV for the cell shown: -115.54
Magnetization, μB/cell: 0.000

Structure (Quantum ESPRESSO input):
```
&SYSTEM
  ibrav = 0, nat = 32, ntyp = 3
/
ATOMIC_SPECIES
Ca 40.08 Ca.upf
Al 26.98 Al.upf
Au 196.97 Au.upf
CELL_PARAMETERS angstrom
-1.699 5.713 -1.347
-4.479 -2.777 -6.125
-12.017 -1.356 9.403
ATOMIC_POSITIONS crystal
Ca 0.138 0.472 0.394
Ca 0.638 0.028 0.606
Ca 0.862 0.528 0.894
Ca 0.362 0.972 0.106
Ca 0.862 0.528 0.606
Ca 0.362 0.972 0.394
Ca 0.138 0.472 0.106
Ca 0.638 0.028 0.894
Ca 0.598 0.325 0.250
Ca 0.098 0.175 0.750
Ca 0.402 0.675 0.750
Ca 0.902 0.825 0.250
Al 0.877 0.124 0.398
Al 0.377 0.376 0.602
Al 0.123 0.876 0.898
Al 0.623 0.624 0.102
Al 0.123 0.876 0.602
Al 0.623 0.624 0.398
Al 0.877 0.124 0.102
Al 0.377 0.376 0.898
Au 0.084 0.181 0.250
Au 0.584 0.319 0.750
Au 0.916 0.819 0.750
Au 0.416 0.681 0.250
Au 0.600 0.325 0.457
Au 0.100 0.175 0.543
Au 0.400 0.675 0.957
Au 0.900 0.825 0.043
Au 0.400 0.675 0.543
Au 0.900 0.825 0.457
Au 0.600 0.325 0.043
Au 0.100 0.175 0.957
```

PrPaC2 | PBE | optimized geometry Values from VASP.

## Properties
Final energy, eV for the cell shown: -32.50
Energy above the lowest structure with this stoichiometry, kJ/mol of formula units: 109.3
Magnetization, μB/cell: 0.000

Structure (Quantum ESPRESSO input):
```
&SYSTEM
  ibrav = 0, nat = 4, ntyp = 3
/
ATOMIC_SPECIES
Pr 140.91 Pr.upf
Pa 231.04 Pa.upf
C 12.01 C.upf
CELL_PARAMETERS angstrom
3.621 0.000 0.000
-1.810 3.135 0.000
0.000 -0.007 6.298
ATOMIC_POSITIONS crystal
Pr 0.000 0.500 0.500
Pa 0.000 0.500 0.000
C 0.667 0.833 0.793
C 0.333 0.167 0.207
```